# LaZnNi5

Crystalline LaZnNi5 at its relaxed geometry (PBE-GGA, the Alexandria database).

Output
SG: Pnma, No. 62

Structure (POSCAR):
```
LaZnNi5
1.0
7.984 0.000 0.000
0.000 4.923 0.000
0.000 0.000 10.160
La Zn Ni
4 4 20
Cartesian
1.950 1.231 0.584 La
2.042 3.693 5.664 La
5.942 1.231 4.495 La
6.034 3.693 9.575 La
1.149 3.693 8.705 Zn
2.843 1.231 3.626 Zn
5.141 3.693 6.534 Zn
6.835 1.231 1.454 Zn
0.464 3.693 1.040 Ni
0.524 0.015 3.139 Ni
0.524 2.447 3.139 Ni
0.805 1.231 5.262 Ni
1.476 1.231 7.639 Ni
2.516 3.693 2.559 Ni
3.187 3.693 0.182 Ni
3.468 2.476 8.219 Ni
3.468 4.909 8.219 Ni
3.528 1.231 6.120 Ni
4.456 3.693 4.040 Ni
4.516 0.015 1.941 Ni
4.516 2.447 1.941 Ni
4.797 1.231 9.978 Ni
5.468 1.231 7.601 Ni
6.508 3.693 2.521 Ni
7.179 3.693 4.898 Ni
7.460 2.476 7.020 Ni
7.460 4.909 7.020 Ni
7.520 1.231 9.120 Ni
```


# La2ZnNi2

Crystalline La2ZnNi2 at its relaxed geometry (PBE-GGA, the Alexandria database).

Output
SG: Immm, No. 71

Structure (POSCAR):
```
La2ZnNi2
1.0
-2.192 2.787 4.241
2.192 -2.787 4.241
2.192 2.787 -4.241
La Zn Ni
2 1 2
Cartesian
0.000 0.000 1.689 La
0.000 0.000 6.793 La
0.000 2.787 0.000 Zn
2.192 1.348 0.000 Ni
0.000 1.439 4.241 Ni
```


# LaZnNi2

Crystalline LaZnNi2 at its relaxed geometry (PBE-GGA, the Alexandria database).

Output
SG: P4mm, No. 99

Structure (POSCAR):
```
LaZnNi2
1.0
3.185 0.000 0.000
0.000 3.185 0.000
0.000 0.000 6.732
La Zn Ni
1 1 2
Cartesian
0.000 0.000 0.000 La
1.593 1.593 4.299 Zn
0.000 0.000 3.061 Ni
1.593 1.593 1.859 Ni
```


# La3Zn4Ni2

Crystalline La3Zn4Ni2 at its relaxed geometry (PBE-GGA, the Alexandria database).

Output
SG: C2/m, No. 12

Structure (POSCAR):
```
La3Zn4Ni2
1.0
5.543 -2.188 0.000
5.543 2.188 0.000
-2.988 0.000 8.049
La Zn Ni
3 4 2
Cartesian
0.000 0.000 0.000 La
2.544 0.000 2.805 La
5.555 0.000 5.244 La
-0.640 0.000 3.011 Zn
0.291 0.000 7.569 Zn
7.808 0.000 0.480 Zn
8.739 0.000 5.039 Zn
2.190 0.000 5.866 Ni
5.909 0.000 2.184 Ni
```


# LaZnNi3

Crystalline LaZnNi3 at its relaxed geometry (PBE-GGA, the Alexandria database).

Output
SG: Pm-3m, No. 221
Energy above the lowest structure with this stoichiometry, kJ/mol of formula units: 691

Structure (POSCAR):
```
LaZnNi3
1.0
4.736 0.000 0.000
0.000 4.736 0.000
0.000 0.000 4.736
La Zn Ni
1 1 3
Cartesian
0.000 0.000 0.000 La
2.368 2.368 2.368 Zn
0.000 0.000 2.368 Ni
0.000 2.368 0.000 Ni
2.368 0.000 0.000 Ni
```


# La3ZnNi

Crystalline La3ZnNi at its relaxed geometry (PBE-GGA, the Alexandria database).

Output
SG: Pm-3m, No. 221
Energy above the lowest structure with this stoichiometry, kJ/mol of formula units: 108

Structure (POSCAR):
```
La3ZnNi
1.0
5.418 0.000 0.000
0.000 5.418 0.000
0.000 0.000 5.418
La Zn Ni
3 1 1
Cartesian
0.000 0.000 2.709 La
0.000 2.709 0.000 La
2.709 0.000 0.000 La
2.709 2.709 2.709 Zn
0.000 0.000 0.000 Ni
```


# La7Zn2Ni2

Crystalline La7Zn2Ni2 at its relaxed geometry (PBE-GGA, the Alexandria database).

Output
SG: Cmmm, No. 65

Structure (POSCAR):
```
La7Zn2Ni2
1.0
3.967 -5.741 0.000
3.967 5.741 0.000
0.000 0.000 7.166
La Zn Ni
7 2 2
Cartesian
0.000 0.000 0.000 La
1.984 2.870 1.879 La
1.984 2.870 5.287 La
1.984 -2.870 1.879 La
1.984 -2.870 5.287 La
3.967 0.000 1.810 La
3.967 0.000 5.357 La
1.258 0.000 3.583 Zn
6.676 0.000 3.583 Zn
3.967 2.328 0.000 Ni
3.967 -2.328 0.000 Ni
```


# La6ZnNi3

Crystalline La6ZnNi3 at its relaxed geometry (PBE-GGA, the Alexandria database).

Output
SG: P2_1/m, No. 11

Structure (POSCAR):
```
La6ZnNi3
1.0
11.057 0.000 0.000
0.000 3.939 0.000
-4.469 0.000 12.885
La Zn Ni
12 2 6
Cartesian
-0.371 0.985 1.556 La
-1.087 2.955 5.243 La
-1.075 0.985 10.333 La
2.285 0.985 4.094 La
1.088 0.985 7.620 La
3.692 2.955 0.820 La
2.896 0.985 12.064 La
5.499 2.955 5.264 La
4.302 2.955 8.791 La
7.662 2.955 2.551 La
7.674 0.985 7.641 La
6.959 2.955 11.328 La
1.330 2.955 10.154 Zn
5.257 0.985 2.731 Zn
-1.256 2.955 8.237 Ni
-2.591 0.985 12.838 Ni
2.585 2.955 6.125 Ni
4.002 0.985 6.759 Ni
9.178 2.955 0.047 Ni
7.843 0.985 4.648 Ni
```


# LaZnNi3

Crystalline LaZnNi3 at its relaxed geometry (PBE-GGA, the Alexandria database).

Output
SG: I4mm, No. 107
Energy above the lowest structure with this stoichiometry, kJ/mol of formula units: 0

Structure (POSCAR):
```
LaZnNi3
1.0
-2.017 2.017 5.091
2.017 -2.017 5.091
2.017 2.017 -5.091
La Zn Ni
1 1 3
Cartesian
0.000 0.000 0.000 La
0.000 0.000 6.536 Zn
2.017 0.000 2.805 Ni
0.000 0.000 4.128 Ni
0.000 2.017 2.805 Ni
```


# La3Zn2Ni9

Crystalline La3Zn2Ni9 at its relaxed geometry (PBE-GGA, the Alexandria database).

Output
SG: Immm, No. 71

Structure (POSCAR):
```
La3Zn2Ni9
1.0
-2.043 4.636 6.170
2.043 -4.636 6.170
2.043 4.636 -6.170
La Zn Ni
3 2 9
Cartesian
0.000 0.000 0.000 La
0.000 0.000 3.748 La
0.000 0.000 8.592 La
2.043 2.629 0.000 Zn
0.000 2.008 6.170 Zn
2.043 1.851 -2.451 Ni
2.043 -2.125 4.865 Ni
0.000 2.512 1.305 Ni
2.043 1.851 2.451 Ni
0.000 4.636 0.000 Ni
0.000 2.786 3.719 Ni
2.043 2.125 4.865 Ni
0.000 6.761 1.305 Ni
0.000 2.786 8.621 Ni
```


# La3ZnNi8

Crystalline La3ZnNi8 at its relaxed geometry (PBE-GGA, the Alexandria database).

Output
SG: R3m, No. 160

Structure (POSCAR):
```
La3ZnNi8
1.0
2.545 1.469 8.385
-2.545 1.469 8.385
0.000 -2.938 8.385
La Zn Ni
3 1 8
Cartesian
0.000 0.000 0.000 La
0.000 0.000 3.231 La
0.000 0.000 12.964 La
0.000 0.000 16.046 Zn
-1.286 -0.743 10.043 Ni
0.000 -1.459 5.958 Ni
-1.263 0.729 5.958 Ni
0.000 0.000 7.983 Ni
1.286 -0.743 10.043 Ni
1.263 0.729 5.958 Ni
0.000 1.485 10.043 Ni
0.000 0.000 20.587 Ni
```


# LaZn9Ni2

Crystalline LaZn9Ni2 at its relaxed geometry (PBE-GGA, the Alexandria database).

Output
SG: I4_1/amd, No. 141
Energy above the lowest structure with this stoichiometry, kJ/mol of formula units: 0

Structure (POSCAR):
```
LaZn9Ni2
1.0
-5.249 5.249 3.398
5.249 -5.249 3.398
5.249 5.249 -3.398
La Zn Ni
2 18 4
Cartesian
5.249 2.624 0.850 La
0.000 2.624 2.549 La
5.249 -2.624 2.549 Zn
3.964 -0.487 1.285 Zn
6.533 -0.487 1.285 Zn
2.137 1.339 0.414 Zn
8.360 1.339 0.414 Zn
3.964 4.761 -1.285 Zn
1.285 -0.487 2.113 Zn
2.137 3.909 0.414 Zn
3.111 -1.339 3.812 Zn
2.137 6.588 -0.414 Zn
3.111 1.339 2.984 Zn
3.964 5.736 1.285 Zn
1.285 0.487 4.683 Zn
-3.111 3.909 2.984 Zn
3.111 3.909 2.984 Zn
-1.285 5.736 2.113 Zn
1.285 5.736 2.113 Zn
0.000 7.873 0.850 Zn
0.000 0.000 0.000 Ni
2.624 2.624 -1.699 Ni
2.624 -2.624 1.699 Ni
0.000 5.249 0.000 Ni
```


# LaZn2Ni4

Crystalline LaZn2Ni4 at its relaxed geometry (PBE-GGA, the Alexandria database).

Output
SG: Immm, No. 71
Energy above the lowest structure with this stoichiometry, kJ/mol of formula units: 0

Structure (POSCAR):
```
LaZn2Ni4
1.0
-2.554 3.158 3.170
2.554 -3.158 3.170
2.554 3.158 -3.170
La Zn Ni
1 2 4
Cartesian
0.000 0.000 0.000 La
1.276 3.158 0.000 Zn
1.278 0.000 3.170 Zn
2.554 1.214 -1.216 Ni
0.000 1.944 4.387 Ni
2.554 1.214 1.216 Ni
0.000 1.944 1.954 Ni
```


# LaZnNi

Crystalline LaZnNi at its relaxed geometry (PBE-GGA, the Alexandria database).

Output
SG: P2_1/m, No. 11
Energy above the lowest structure with this stoichiometry, kJ/mol of formula units: 30

Structure (POSCAR):
```
LaZnNi
1.0
4.279 0.000 0.000
0.000 4.754 0.000
-2.121 0.000 6.041
La Zn Ni
2 2 2
Cartesian
0.005 1.189 1.211 La
2.152 3.566 4.829 La
0.014 1.189 4.394 Zn
2.143 3.566 1.646 Zn
0.004 3.566 2.881 Ni
2.153 1.189 3.159 Ni
```


# La2ZnNi2

Crystalline La2ZnNi2 at its relaxed geometry (PBE-GGA, the Alexandria database).

Output
SG: I4/mmm, No. 139

Structure (POSCAR):
```
La2ZnNi2
1.0
-2.745 2.745 3.724
2.745 -2.745 3.724
2.745 2.745 -3.724
La Zn Ni
2 1 2
Cartesian
2.745 0.000 1.862 La
0.000 2.745 1.862 La
0.000 0.000 0.000 Zn
0.000 0.000 2.544 Ni
0.000 0.000 4.903 Ni
```


# La4ZnNi

Crystalline La4ZnNi at its relaxed geometry (PBE-GGA, the Alexandria database).

Output
SG: P2_1/c, No. 14
Energy above the lowest structure with this stoichiometry, kJ/mol of formula units: 38

Structure (POSCAR):
```
La4ZnNi
1.0
7.118 0.000 0.000
0.000 7.442 0.000
-0.897 0.000 7.215
La Zn Ni
8 2 2
Cartesian
1.022 1.310 1.457 La
0.574 2.411 5.065 La
2.177 4.874 0.850 La
1.729 6.289 4.457 La
4.493 1.153 2.758 La
4.044 2.568 6.365 La
5.648 5.031 2.151 La
5.199 6.132 5.758 La
3.559 0.000 0.000 Zn
3.111 3.721 3.608 Zn
-0.448 0.000 3.608 Ni
0.000 3.721 0.000 Ni
```


# LaZn2Ni

Crystalline LaZn2Ni at its relaxed geometry (PBE-GGA, the Alexandria database).

Output
SG: Immm, No. 71

Structure (POSCAR):
```
LaZn2Ni
1.0
-1.982 2.517 3.959
1.982 -2.517 3.959
1.982 2.517 -3.959
La Zn Ni
1 2 1
Cartesian
0.000 0.000 0.000 La
1.982 0.000 2.316 Zn
0.000 2.517 1.643 Zn
0.000 0.000 3.959 Ni
```


# LaZn3Ni3

Crystalline LaZn3Ni3 at its relaxed geometry (PBE-GGA, the Alexandria database).

Output
SG: Pm-3n, No. 223

Structure (POSCAR):
```
LaZn3Ni3
1.0
6.472 0.000 0.000
0.000 6.472 0.000
0.000 0.000 6.472
La Zn Ni
2 6 6
Cartesian
0.000 0.000 0.000 La
3.236 3.236 3.236 La
0.000 1.618 3.236 Zn
0.000 4.854 3.236 Zn
1.618 3.236 0.000 Zn
3.236 0.000 1.618 Zn
3.236 0.000 4.854 Zn
4.854 3.236 0.000 Zn
0.000 3.236 1.618 Ni
0.000 3.236 4.854 Ni
1.618 0.000 3.236 Ni
3.236 1.618 0.000 Ni
3.236 4.854 0.000 Ni
4.854 0.000 3.236 Ni
```


# La12ZnNi6

Crystalline La12ZnNi6 at its relaxed geometry (PBE-GGA, the Alexandria database).

Output
SG: Im-3, No. 204

Structure (POSCAR):
```
La12ZnNi6
1.0
-5.090 5.090 5.090
5.090 -5.090 5.090
5.090 5.090 -5.090
La Zn Ni
12 1 6
Cartesian
5.090 -1.952 3.233 La
3.138 1.857 0.000 La
7.041 1.857 0.000 La
3.233 5.090 -1.952 La
1.857 0.000 3.138 La
0.000 3.138 1.857 La
5.090 1.952 3.233 La
3.233 5.090 1.952 La
1.857 0.000 7.041 La
-1.952 3.233 5.090 La
1.952 3.233 5.090 La
0.000 7.041 1.857 La
0.000 0.000 0.000 Zn
5.090 0.000 1.284 Ni
5.090 3.806 0.000 Ni
1.284 5.090 0.000 Ni
3.806 0.000 5.090 Ni
0.000 1.284 5.090 Ni
0.000 5.090 3.806 Ni
```


# La3Zn3Ni2

Crystalline La3Zn3Ni2 at its relaxed geometry (PBE-GGA, the Alexandria database).

Output
SG: Pnma, No. 62

Structure (POSCAR):
```
La3Zn3Ni2
1.0
7.901 0.000 0.000
0.000 15.814 0.000
0.000 0.000 5.605
La Zn Ni
12 12 8
Cartesian
0.270 1.659 0.590 La
0.270 6.248 0.590 La
1.296 3.954 3.466 La
2.655 11.861 0.664 La
3.681 9.566 3.393 La
3.681 14.155 3.393 La
4.220 1.659 2.212 La
4.220 6.248 2.212 La
5.246 3.954 4.942 La
6.606 11.861 2.139 La
7.632 9.566 5.015 La
7.632 14.155 5.015 La
1.329 0.558 3.340 Zn
1.329 7.350 3.340 Zn
1.419 11.861 3.418 Zn
2.532 3.954 0.615 Zn
2.622 8.465 0.537 Zn
2.622 15.257 0.537 Zn
5.279 0.558 5.068 Zn
5.279 7.350 5.068 Zn
5.369 11.861 4.990 Zn
6.483 3.954 2.188 Zn
6.573 8.465 2.266 Zn
6.573 15.257 2.266 Zn
0.955 9.639 2.114 Ni
0.955 14.083 2.114 Ni
2.995 1.731 4.917 Ni
2.995 6.176 4.917 Ni
4.906 9.639 0.688 Ni
4.906 14.083 0.688 Ni
6.946 1.731 3.491 Ni
6.946 6.176 3.491 Ni
```


no.,spin magnetization (Bohr magnetons per cell),N(E_F) (states/eV/f.u.),DFT formation energy (meV/atom)
1,0.03,9.31,-254
2,0.00,4.16,-358
3,0.00,5.47,-47
4,0.00,6.39,-354
5,0.00,4.62,1196
6,0.00,9.07,-10
7,0.00,14.42,-133
8,0.00,11.69,-209
9,0.00,3.45,-237
10,0.00,10.02,-285
11,0.00,7.59,-321
12,0.00,7.01,-290
13,0.00,4.96,-256
14,0.00,2.52,-287
15,0.00,2.62,-261
16,0.00,8.07,-112
17,0.00,2.37,-133
18,0.00,4.23,131
19,0.00,16.62,-257
20,0.00,7.07,-339